Entry 1:
Computed, not measured: Tm3AlS6 after structural relaxation at the PBE level of DFT.

Structure (CIF):
```
data_Tm3AlS6
_chemical_formula_sum 'Tm6 Al2 S12'
_space_group_name_H-M_alt 'P 1'
_space_group_IT_number 1
_cell_length_a 6.383
_cell_length_b 8.445
_cell_length_c 8.445
_cell_angle_alpha 102.48
_cell_angle_beta 90.00
_cell_angle_gamma 90.00
loop_
_space_group_symop_operation_xyz
'x,y,z'
loop_
_atom_site_label
_atom_site_type_symbol
_atom_site_fract_x
_atom_site_fract_y
_atom_site_fract_z
S1 S 0.687 0.307 0.367
Tm1 Tm 0.394 0.402 0.598
S2 S 0.687 0.633 0.693
S3 S 0.670 0.217 0.783
Tm2 Tm 0.982 0.085 0.284
S4 S 0.170 0.783 0.217
S5 S 0.199 0.103 0.567
S6 S 0.187 0.367 0.307
S7 S 0.699 0.567 0.103
Tm3 Tm 0.482 0.284 0.085
Tm4 Tm 0.982 0.716 0.915
Al1 Al 0.022 0.201 0.799
S8 S 0.164 0.041 0.959
Tm5 Tm 0.482 0.915 0.716
Al2 Al 0.522 0.799 0.201
S9 S 0.664 0.959 0.041
S10 S 0.199 0.433 0.897
S11 S 0.187 0.693 0.633
Tm6 Tm 0.894 0.598 0.402
S12 S 0.699 0.897 0.433
```

Output
theoretical density: 5.43 g/cm³
D(E_F): 0.00 states/eV/cell
formation energy from raw total energies: -1821 meV per atom

***

Entry 2:
Computed, not measured: Ga2HPtCl after structural relaxation at the PBE level of DFT.

Structure (CIF):
```
data_Ga2HPtCl
_chemical_formula_sum 'Ga2 H1 Pt1 Cl1'
_space_group_name_H-M_alt 'P 1'
_space_group_IT_number 1
_cell_length_a 3.953
_cell_length_b 4.900
_cell_length_c 3.953
_cell_angle_alpha 90.00
_cell_angle_beta 90.00
_cell_angle_gamma 90.00
loop_
_space_group_symop_operation_xyz
'x,y,z'
loop_
_atom_site_label
_atom_site_type_symbol
_atom_site_fract_x
_atom_site_fract_y
_atom_site_fract_z
H1 H 0.000 0.000 0.000
Pt1 Pt 0.500 0.500 0.500
Ga1 Ga 0.000 0.000 0.500
Cl1 Cl 0.000 0.500 0.000
Ga2 Ga 0.500 0.000 0.000
```

Output
theoretical density: 8.05 g/cm³
electronic total energy: -3.123 eV/atom
D(E_F): 2.04 states/eV/cell

***

Entry 3:
Computed, not measured: SrPm4Hg4 after structural relaxation at the PBE level of DFT.

Structure (CIF):
```
data_SrPm4Hg4
_chemical_formula_sum 'Sr2 Pm8 Hg8'
_space_group_name_H-M_alt 'P 1'
_space_group_IT_number 1
_cell_length_a 3.868
_cell_length_b 12.044
_cell_length_c 12.044
_cell_angle_alpha 90.00
_cell_angle_beta 90.00
_cell_angle_gamma 90.00
loop_
_space_group_symop_operation_xyz
'x,y,z'
loop_
_atom_site_label
_atom_site_type_symbol
_atom_site_fract_x
_atom_site_fract_y
_atom_site_fract_z
Sr1 Sr 0.000 0.000 0.000
Pm1 Pm 0.500 0.308 0.025
Hg1 Hg 0.000 0.835 0.796
Hg2 Hg 0.500 0.665 0.704
Pm2 Pm 0.000 0.192 0.475
Hg3 Hg 0.000 0.204 0.835
Pm3 Pm 0.000 0.525 0.192
Pm4 Pm 0.000 0.475 0.808
Pm5 Pm 0.000 0.808 0.525
Sr2 Sr 0.500 0.500 0.500
Pm6 Pm 0.500 0.025 0.692
Hg4 Hg 0.000 0.796 0.165
Hg5 Hg 0.500 0.335 0.296
Hg6 Hg 0.500 0.296 0.665
Pm7 Pm 0.500 0.692 0.975
Hg7 Hg 0.500 0.704 0.335
Pm8 Pm 0.500 0.975 0.308
Hg8 Hg 0.000 0.165 0.204
```

Output
theoretical density: 8.70 g/cm³
ΔE_f: -286 meV per atom
D(E_F): 20.65 states/eV/cell

***

Entry 4:
Computed, not measured: InSiAs after structural relaxation at the PBE level of DFT.

Structure (CIF):
```
data_InSiAs
_chemical_formula_sum 'In1 Si1 As1'
_space_group_name_H-M_alt 'P 1'
_space_group_IT_number 1
_cell_length_a 4.613
_cell_length_b 4.613
_cell_length_c 4.613
_cell_angle_alpha 60.00
_cell_angle_beta 60.00
_cell_angle_gamma 60.00
loop_
_space_group_symop_operation_xyz
'x,y,z'
loop_
_atom_site_label
_atom_site_type_symbol
_atom_site_fract_x
_atom_site_fract_y
_atom_site_fract_z
Si1 Si 0.750 0.750 0.750
In1 In 0.500 0.500 0.500
As1 As 0.000 0.000 0.000
```

Output
theoretical density: 5.21 g/cm³
energy relative to the lowest polymorph listed for this composition: 0.440 eV per atom
D(E_F): 1.91 states/eV/cell
formation energy from raw total energies: 375 meV per atom

***

Entry 5:
Computed, not measured: Ca2AcBi3 after structural relaxation at the PBE level of DFT.

Structure (CIF):
```
data_Ca2AcBi3
_chemical_formula_sum 'Ca2 Ac1 Bi3'
_space_group_name_H-M_alt 'P 1'
_space_group_IT_number 1
_cell_length_a 5.395
_cell_length_b 6.814
_cell_length_c 7.298
_cell_angle_alpha 117.83
_cell_angle_beta 111.69
_cell_angle_gamma 90.00
loop_
_space_group_symop_operation_xyz
'x,y,z'
loop_
_atom_site_label
_atom_site_type_symbol
_atom_site_fract_x
_atom_site_fract_y
_atom_site_fract_z
Ca1 Ca 0.660 0.160 0.320
Bi1 Bi 0.000 0.000 0.000
Bi2 Bi 0.313 0.313 0.627
Ac1 Ac 0.000 0.500 0.000
Bi3 Bi 0.687 0.687 0.373
Ca2 Ca 0.340 0.840 0.680
```

Output
theoretical density: 7.20 g/cm³
ΔE_f: -741 meV per atom
D(E_F): 1.84 states/eV/cell

***

Entry 6:
Computed, not measured: YEr4Tl5 after structural relaxation at the PBE level of DFT.

Structure (CIF):
```
data_YEr4Tl5
_chemical_formula_sum 'Y1 Er4 Tl5'
_space_group_name_H-M_alt 'P 1'
_space_group_IT_number 1
_cell_length_a 3.733
_cell_length_b 3.733
_cell_length_c 19.316
_cell_angle_alpha 90.00
_cell_angle_beta 90.00
_cell_angle_gamma 90.00
loop_
_space_group_symop_operation_xyz
'x,y,z'
loop_
_atom_site_label
_atom_site_type_symbol
_atom_site_fract_x
_atom_site_fract_y
_atom_site_fract_z
Er1 Er 0.000 0.000 0.599
Tl1 Tl 0.500 0.500 0.699
Tl2 Tl 0.500 0.500 0.301
Er2 Er 0.000 0.000 0.798
Tl3 Tl 0.500 0.500 0.500
Y1 Y 0.000 0.000 0.000
Tl4 Tl 0.500 0.500 0.898
Tl5 Tl 0.500 0.500 0.102
Er3 Er 0.000 0.000 0.202
Er4 Er 0.000 0.000 0.401
```

Output
theoretical density: 10.98 g/cm³
ΔE_f: -325 meV per atom
D(E_F): 7.85 states/eV/cell

***

Entry 7:
Computed, not measured: CeAgSe2 after structural relaxation at the PBE level of DFT.

Structure (CIF):
```
data_CeAgSe2
_chemical_formula_sum 'Ce2 Ag2 Se4'
_space_group_name_H-M_alt 'P 1'
_space_group_IT_number 1
_cell_length_a 4.021
_cell_length_b 4.902
_cell_length_c 10.831
_cell_angle_alpha 90.00
_cell_angle_beta 90.00
_cell_angle_gamma 90.00
loop_
_space_group_symop_operation_xyz
'x,y,z'
loop_
_atom_site_label
_atom_site_type_symbol
_atom_site_fract_x
_atom_site_fract_y
_atom_site_fract_z
Se1 Se 0.000 0.500 0.128
Se2 Se 0.500 0.000 0.872
Ag1 Ag 0.000 0.000 0.620
Se3 Se 0.500 0.000 0.404
Se4 Se 0.000 0.500 0.596
Ce1 Ce 0.000 0.500 0.851
Ag2 Ag 0.500 0.500 0.380
Ce2 Ce 0.500 0.000 0.149
```

Output
theoretical density: 6.31 g/cm³
D(E_F): 12.21 states/eV/cell
formation energy from raw total energies: -909 meV per atom

***

Entry 8:
Computed, not measured: CsPmTeS after structural relaxation at the PBE level of DFT.

Structure (CIF):
```
data_CsPmTeS
_chemical_formula_sum 'Cs1 Pm1 Te1 S1'
_space_group_name_H-M_alt 'P 1'
_space_group_IT_number 1
_cell_length_a 4.391
_cell_length_b 4.391
_cell_length_c 9.056
_cell_angle_alpha 90.03
_cell_angle_beta 104.02
_cell_angle_gamma 119.99
loop_
_space_group_symop_operation_xyz
'x,y,z'
loop_
_atom_site_label
_atom_site_type_symbol
_atom_site_fract_x
_atom_site_fract_y
_atom_site_fract_z
S1 S 0.515 0.155 0.686
Pm1 Pm 0.287 0.541 0.844
Cs1 Cs 0.976 0.386 0.376
Te1 Te 0.100 0.948 0.063
```

Output
theoretical density: 5.00 g/cm³
formation energy from raw total energies: -1564 meV per atom

***

Entry 9:
Computed, not measured: BaCu3 after structural relaxation at the PBE level of DFT.

Structure (CIF):
```
data_BaCu3
_chemical_formula_sum 'Ba2 Cu6'
_space_group_name_H-M_alt 'P 1'
_space_group_IT_number 1
_cell_length_a 11.960
_cell_length_b 11.960
_cell_length_c 11.960
_cell_angle_alpha 161.26
_cell_angle_beta 161.26
_cell_angle_gamma 26.62
loop_
_space_group_symop_operation_xyz
'x,y,z'
loop_
_atom_site_label
_atom_site_type_symbol
_atom_site_fract_x
_atom_site_fract_y
_atom_site_fract_z
Ba1 Ba 0.366 0.366 0.000
Cu1 Cu 0.000 0.500 0.500
Cu2 Cu 0.062 0.062 0.000
Ba2 Ba 0.634 0.634 0.000
Cu3 Cu 0.938 0.938 0.000
Cu4 Cu 0.500 0.000 0.500
Cu5 Cu 0.250 0.750 0.500
Cu6 Cu 0.750 0.250 0.500
```

Output
theoretical density: 6.17 g/cm³
ΔE_f: 196 meV per atom
D(E_F): 2.84 states/eV/cell

***

Entry 10:
Computed, not measured: CsHgTe3 after structural relaxation at the PBE level of DFT.

Structure (CIF):
```
data_CsHgTe3
_chemical_formula_sum 'Cs1 Hg1 Te3'
_space_group_name_H-M_alt 'P 1'
_space_group_IT_number 1
_cell_length_a 5.813
_cell_length_b 5.813
_cell_length_c 5.813
_cell_angle_alpha 90.00
_cell_angle_beta 90.00
_cell_angle_gamma 90.00
loop_
_space_group_symop_operation_xyz
'x,y,z'
loop_
_atom_site_label
_atom_site_type_symbol
_atom_site_fract_x
_atom_site_fract_y
_atom_site_fract_z
Te1 Te 0.000 0.000 0.500
Te2 Te 0.500 0.000 0.000
Hg1 Hg 0.000 0.000 0.000
Te3 Te 0.000 0.500 0.000
Cs1 Cs 0.500 0.500 0.500
```

Output
theoretical density: 6.06 g/cm³
energy relative to the lowest polymorph listed for this composition: 0.237 eV per atom
D(E_F): 6.80 states/eV/cell
formation energy from raw total energies: -72 meV per atom

***

Entry 11:
Computed, not measured: In3AsIr after structural relaxation at the PBE level of DFT.

Structure (CIF):
```
data_In3AsIr
_chemical_formula_sum 'In3 As1 Ir1'
_space_group_name_H-M_alt 'P 1'
_space_group_IT_number 1
_cell_length_a 5.189
_cell_length_b 5.189
_cell_length_c 5.189
_cell_angle_alpha 90.00
_cell_angle_beta 90.00
_cell_angle_gamma 90.00
loop_
_space_group_symop_operation_xyz
'x,y,z'
loop_
_atom_site_label
_atom_site_type_symbol
_atom_site_fract_x
_atom_site_fract_y
_atom_site_fract_z
In1 In 0.000 0.500 0.000
Ir1 Ir 0.500 0.500 0.500
In2 In 0.000 0.000 0.500
In3 In 0.500 0.000 0.000
As1 As 0.000 0.000 0.000
```

Output
theoretical density: 7.27 g/cm³
ΔE_f: 1060 meV per atom
energy relative to the lowest polymorph listed for this composition: 0.859 eV per atom
D(E_F): 5.00 states/eV/cell

***

Entry 12:
Computed, not measured: Th4P2CSe after structural relaxation at the PBE level of DFT.

Structure (CIF):
```
data_Th4P2CSe
_chemical_formula_sum 'Th4 P2 C1 Se1'
_space_group_name_H-M_alt 'P 1'
_space_group_IT_number 1
_cell_length_a 4.046
_cell_length_b 7.015
_cell_length_c 7.169
_cell_angle_alpha 70.95
_cell_angle_beta 90.00
_cell_angle_gamma 90.00
loop_
_space_group_symop_operation_xyz
'x,y,z'
loop_
_atom_site_label
_atom_site_type_symbol
_atom_site_fract_x
_atom_site_fract_y
_atom_site_fract_z
Th1 Th 0.000 0.748 0.724
Th2 Th 0.000 0.252 0.276
C1 C 0.000 0.500 0.500
Th3 Th 0.500 0.268 0.721
Se1 Se 0.500 0.500 0.000
P1 P 0.500 0.000 0.500
P2 P 0.000 0.000 0.000
Th4 Th 0.500 0.732 0.279
```

Output
theoretical density: 9.33 g/cm³
D(E_F): 3.72 states/eV/cell
formation energy from raw total energies: -1220 meV per atom

***

Entry 13:
Computed, not measured: Dy8TlIn2 after structural relaxation at the PBE level of DFT.

Structure (CIF):
```
data_Dy8TlIn2
_chemical_formula_sum 'Dy8 Tl1 In2'
_space_group_name_H-M_alt 'P 1'
_space_group_IT_number 1
_cell_length_a 5.098
_cell_length_b 8.536
_cell_length_c 8.906
_cell_angle_alpha 118.63
_cell_angle_beta 106.63
_cell_angle_gamma 90.00
loop_
_space_group_symop_operation_xyz
'x,y,z'
loop_
_atom_site_label
_atom_site_type_symbol
_atom_site_fract_x
_atom_site_fract_y
_atom_site_fract_z
Dy1 Dy 0.000 0.692 0.000
In1 In 0.195 0.695 0.390
Tl1 Tl 0.500 0.000 0.000
Dy2 Dy 0.143 0.143 0.286
Dy3 Dy 0.658 0.442 0.317
Dy4 Dy 0.000 0.308 0.000
In2 In 0.805 0.305 0.610
Dy5 Dy 0.342 0.558 0.683
Dy6 Dy 0.658 0.875 0.317
Dy7 Dy 0.342 0.125 0.683
Dy8 Dy 0.857 0.857 0.714
```

Output
theoretical density: 8.95 g/cm³
ΔE_f: -175 meV per atom
energy relative to the lowest polymorph listed for this composition: 0.064 eV per atom
D(E_F): 13.56 states/eV/cell